A relaxed AgAsPO crystal. Source: OQMD via LeMat-Bulk, functional GGA-PBE.

## Properties
Space-group type   No. 129
Offset from the most stable computed form   0.242 eV per atom

Cell: 3.737 3.737 8.954 Å, 90.00 90.00 90.00°
Sites, in units of the cell vectors:
1 Ag 0.500 0.500 0.500
2 Ag 0.000 0.000 0.500
3 As 0.000 0.500 0.120
4 As 0.500 0.000 0.880
5 P 0.000 0.500 0.704
6 P 0.500 0.000 0.296
7 O 0.000 0.000 0.000
8 O 0.500 0.500 0.000

---

A relaxed ZrFeCoSi crystal. Source: OQMD via LeMat-Bulk, functional GGA-PBE.

## Properties
Space-group type   No. 216
Spin magnetization   0.25 μB/atom
Offset from the most stable computed form   0.000 eV per atom

Cell: 4.214 4.214 4.214 Å, 60.00 60.00 60.00°
Each line ends with the local moment (μB).
Sites, in units of the cell vectors:
1 Si 0.000 0.000 0.000  0.00
2 Fe 0.250 0.250 0.250  0.63
3 Zr 0.500 0.500 0.500  -0.12
4 Co 0.750 0.750 0.750  0.56

---

A relaxed HfMg crystal. Source: OQMD via LeMat-Bulk, functional GGA-PBE.

## Properties
Space-group type   No. 59
Spin magnetization   0.00 μB/atom
VASP energy   -90.408 eV/cell

Cell: 10.907 6.290 5.093 Å, 90.00 90.00 90.00°
Sites, in units of the cell vectors:
1 Mg 0.497 0.000 0.000
2 Mg 0.170 0.500 0.500
3 Mg 0.418 0.750 0.500
4 Mg 0.249 0.250 0.000
5 Mg 0.418 0.250 0.500
6 Mg 0.665 0.500 0.500
7 Mg 0.249 0.750 0.000
8 Mg 0.002 0.000 0.000
9 Hf 0.669 0.000 0.500
10 Hf 0.998 0.500 0.000
11 Hf 0.510 0.500 0.000
12 Hf 0.751 0.746 0.000
13 Hf 0.751 0.254 0.000
14 Hf 0.157 0.000 0.500
15 Hf 0.915 0.754 0.500
16 Hf 0.915 0.246 0.500

---

A relaxed ErC crystal. Source: OQMD via LeMat-Bulk, functional GGA-PBE.

## Properties
Space-group type   No. 194
Spin magnetization   0.29 μB/atom
VASP energy   -26.614 eV/cell

Cell: 4.138 4.138 5.022 Å, 90.00 90.00 120.00°
Each line ends with the local moment (μB).
Sites, in units of the cell vectors:
1 C 0.333 0.667 0.437  0.23
2 C 0.000 0.000 0.937  0.23
3 Er 0.000 0.000 0.438  0.21
4 Er 0.333 0.667 0.938  0.21

---

A relaxed ErZr crystal. Source: OQMD via LeMat-Bulk, functional GGA-PBE.

## Properties
Space-group type   No. 216
Spin magnetization   0.03 μB/atom
VASP energy   -8.540 eV/cell

Cell: 4.572 4.572 4.572 Å, 60.00 60.00 60.00°
Sites, in units of the cell vectors:
1 Er 0.000 0.000 0.000
2 Zr 0.250 0.250 0.250

---

A relaxed Sm3Si4Au2 crystal. Source: OQMD via LeMat-Bulk, functional GGA-PBE.

## Properties
Space-group type   No. 12
Spin magnetization   0.00 μB/atom
VASP energy   -49.692 eV/cell

Cell: 5.905 5.905 8.334 Å, 100.59 100.59 42.11°
Sites, in units of the cell vectors:
1 Sm 0.337 0.337 0.828
2 Sm 0.000 0.000 0.500
3 Sm 0.663 0.663 0.172
4 Si 0.054 0.054 0.892
5 Si 0.724 0.724 0.553
6 Si 0.946 0.946 0.108
7 Si 0.276 0.276 0.447
8 Au 0.614 0.614 0.781
9 Au 0.386 0.386 0.219